No. 1
DFT (PBE) results for a relaxed VIrBr2 crystal.

a b c (Å): 8.511 8.511 8.511
angles (deg): 149.05 149.05 44.33
Atoms (fractional coordinates):
V1 0.000 0.000 0.000
V2 0.750 0.250 0.500
Ir1 0.250 0.750 0.500
Ir2 0.500 0.500 0.000
Br1 0.124 0.625 0.999
Br2 0.375 0.374 0.499
Br3 0.626 0.125 0.001
Br4 0.875 0.876 0.501

Calculated total energy (eV per atom): -4.77
Space group: I-42d (122)
Polymorph energy (0 for the lowest one) (meV per atom): 134

=====

No. 2
DFT (PBE) results for a relaxed SiTcAs2 crystal.

a b c (Å): 2.854 2.854 9.080
angles (deg): 90.00 90.00 111.11
Atoms (fractional coordinates):
Si1 0.000 0.000 0.000
Tc1 0.500 0.500 0.207
As1 0.000 0.000 0.421
As2 0.500 0.500 0.757

Calculated total energy (eV per atom): -5.97
Space group: Cmm2 (35)

=====

No. 3
DFT (PBE) results for a relaxed HgSb2As crystal.

a b c (Å): 6.507 6.507 6.507
angles (deg): 145.21 138.52 55.22
Atoms (fractional coordinates):
Hg1 0.000 0.000 0.000
Sb1 0.302 0.802 0.500
Sb2 0.698 0.198 0.500
As1 0.500 0.500 0.000

Calculated total energy (eV per atom): -3.07
Space group: Immm (71)
Polymorph energy (0 for the lowest one) (meV per atom): 199

=====

No. 4
DFT (PBE) results for a relaxed K3ScU2S6 crystal.

a b c (Å): 6.888 6.888 7.757
angles (deg): 98.52 98.52 120.00
Atoms (fractional coordinates):
K1 0.000 0.000 0.000
K2 0.333 0.667 0.000
K3 0.667 0.333 0.000
Sc1 0.500 0.500 0.500
U1 0.167 0.833 0.500
U2 0.833 0.167 0.500
S1 0.110 0.433 0.299
S2 0.243 0.243 0.701
S3 0.433 0.110 0.299
S4 0.567 0.890 0.701
S5 0.757 0.757 0.299
S6 0.890 0.567 0.701

Calculated total energy (eV per atom): -6.24
Space group: C2/m (12)

=====

No. 5
DFT (PBE) results for a relaxed Pa2Al7Au12 crystal.

a b c (Å): 10.258 10.258 4.301
angles (deg): 90.00 90.00 120.00
Atoms (fractional coordinates):
Pa1 0.000 0.000 0.000
Pa2 0.333 0.667 0.500
Al1 0.059 0.651 0.000
Al2 0.301 0.089 0.500
Al3 0.349 0.408 0.000
Al4 0.592 0.941 0.000
Al5 0.667 0.333 0.500
Al6 0.788 0.699 0.500
Al7 0.911 0.212 0.500
Au1 0.078 0.823 0.500
Au2 0.113 0.422 0.000
Au3 0.177 0.255 0.500
Au4 0.310 0.887 0.000
Au5 0.458 0.222 0.000
Au6 0.507 0.466 0.500
Au7 0.534 0.040 0.500
Au8 0.578 0.690 0.000
Au9 0.745 0.922 0.500
Au10 0.765 0.542 0.000
Au11 0.778 0.235 0.000
Au12 0.960 0.493 0.500

Calculated total energy (eV per atom): -4.40
Space group: P-6 (174)

=====

No. 6
DFT (PBE) results for a relaxed PuScSb2 crystal.

a b c (Å): 3.530 3.530 8.026
angles (deg): 90.00 90.00 90.00
Atoms (fractional coordinates):
Pu1 0.000 0.000 0.000
Sc1 0.000 0.000 0.500
Sb1 0.500 0.500 0.266
Sb2 0.500 0.500 0.734

Calculated total energy (eV per atom): -7.83
Space group: P4/mmm (123)
Polymorph energy (0 for the lowest one) (meV per atom): 163

=====

No. 7
DFT (PBE) results for a relaxed BaCoSn2Cl8 crystal.

a b c (Å): 6.367 6.770 8.629
angles (deg): 91.88 90.64 92.81
Atoms (fractional coordinates):
Ba1 0.000 0.000 0.000
Co1 0.000 0.000 0.500
Sn1 0.478 0.533 0.276
Sn2 0.522 0.467 0.724
Cl1 0.197 0.178 0.304
Cl2 0.222 0.707 0.467
Cl3 0.247 0.129 0.711
Cl4 0.282 0.643 0.026
Cl5 0.718 0.357 0.974
Cl6 0.753 0.871 0.289
Cl7 0.778 0.293 0.533
Cl8 0.803 0.822 0.696

Calculated total energy (eV per atom): -3.85
Space group: P-1 (2)

=====

No. 8
DFT (PBE) results for a relaxed Be3MoRu crystal.

a b c (Å): 4.090 4.090 4.090
angles (deg): 90.00 90.00 90.00
Atoms (fractional coordinates):
Be1 0.000 0.000 0.500
Be2 0.000 0.500 0.000
Be3 0.500 0.000 0.000
Mo1 0.000 0.000 0.000
Ru1 0.500 0.500 0.500

Calculated total energy (eV per atom): -4.81
Space group: Pm-3m (221)
Polymorph energy (0 for the lowest one) (meV per atom): 712